Computed, not measured: YMgZrOs after structural relaxation at the PBE-GGA level of DFT.

The calculation puts the energy of formation from the pure elements at -0.145 eV/atom. Its symmetry is F-43m.

Structure (extended XYZ):
```
4
Lattice="-3.0014 2.6661 2.7843 -4.8318 -0.6636 -0.2868 -2.4020 -2.0947 3.7028" Properties=species:S:1:pos:R:3 pbc="T T T"
Mg 0.0000 0.0000 0.0000
Os -5.1176 -0.0461 3.1002
Zr -7.6764 -0.0692 4.6502
Y -2.5588 -0.0231 1.5501
```

***

Computed, not measured: MgZnOs2 after structural relaxation at the PBE-GGA level of DFT.

The calculation puts the energy of formation from the pure elements at 0.236 eV/atom. Its symmetry is C2/m.

Structure (extended XYZ):
```
4
Lattice="-2.7013 3.2475 -2.1515 -3.9209 0.7770 -2.5484 -3.1200 0.9791 3.4923" Properties=species:S:1:pos:R:3 pbc="T T T"
Os -4.8636 2.4893 -0.5494
Os -3.1276 0.9916 3.4380
Zn -7.3067 3.7527 -0.9057
Mg -2.4356 1.2509 -0.3019
```

***

Computed, not measured: Mg2ZnOs2 after structural relaxation at the PBE-GGA level of DFT.

The calculation puts the energy of formation from the pure elements at 0.222 eV/atom. Its symmetry is P4/mbm.

Structure (extended XYZ):
```
10
Lattice="6.3482 0.0000 0.0000 0.0000 6.3482 0.0000 0.0000 0.0000 4.2986" Properties=species:S:1:pos:R:3 pbc="T T T"
Mg 4.2393 5.2830 2.1493
Mg 2.1089 1.0652 2.1493
Mg 5.2830 2.1089 2.1493
Mg 1.0652 4.2393 2.1493
Zn 0.0000 0.0000 0.0000
Zn 3.1741 3.1741 0.0000
Os 0.8364 2.3377 0.0000
Os 2.3377 5.5118 0.0000
Os 5.5118 4.0105 0.0000
Os 4.0105 0.8364 0.0000
```

***

Computed, not measured: MgZnOs2 after structural relaxation at the PBE-GGA level of DFT.

The calculation puts the energy of formation from the pure elements at 0.279 eV/atom. Its symmetry is Imm2.

Structure (extended XYZ):
```
4
Lattice="-1.3175 -0.1536 5.1649 3.4249 -2.0225 3.5517 -1.0476 3.6820 -3.7122" Properties=species:S:1:pos:R:3 pbc="T T T"
Os -0.6412 1.2053 2.9653
Os 2.0762 -2.1438 8.5874
Mg 1.7040 0.2976 2.0514
Zn 1.0820 -1.1173 4.4754
```

***

Computed, not measured: MgZnOs2 after structural relaxation at the PBE-GGA level of DFT.

The calculation puts the energy of formation from the pure elements at 0.398 eV/atom. Its symmetry is Cmmm.

Structure (extended XYZ):
```
4
Lattice="4.9161 -0.0338 0.0000 -2.1020 4.4442 0.0000 0.0000 0.0000 2.7514" Properties=species:S:1:pos:R:3 pbc="T T T"
Os 1.4070 2.2052 0.0000
Os 0.0000 0.0000 0.0000
Mg -1.0510 2.2221 1.3757
Zn 2.4580 -0.0169 1.3757
```

***

Computed, not measured: MgZn2Os after structural relaxation at the PBE-GGA level of DFT.

The calculation puts the energy of formation from the pure elements at 0.090 eV/atom. Its symmetry is C2/m.

Structure (extended XYZ):
```
4
Lattice="4.7780 0.0045 -0.0089 4.0093 2.5991 -0.0089 0.6196 0.1836 4.9197" Properties=species:S:1:pos:R:3 pbc="T T T"
Os 2.3517 0.6968 1.2255
Zn 4.7667 1.4123 2.3642
Zn 8.7240 2.5848 0.0691
Mg 7.0552 2.0904 3.6765
```

***

Number 1: raw total energy -28.417 eV per formula unit. Number 2: raw total energy -24.385 eV per formula unit. Number 3: raw total energy -25.812 eV per formula unit. Number 4: raw total energy -24.212 eV per formula unit. Number 5: raw total energy -23.735 eV per formula unit. Number 6: raw total energy -15.012 eV per formula unit.